(1)
The following is a DFT calculation (SCAN) of a crystal of Ti2ZnN relaxed with PBEsol.

The structure belongs to space group Cmcm (No. 63); the cell edges are 2.976, 16.088 and 4.132 Å and the angles 90.00°, 90.00° and 90.00°. Symmetry generates all atoms from Ti at (0.000, 0.111, 0.250), Ti at (0.000, 0.288, 0.250), Zn at (0.000, 0.459, 0.250) and N at (0.000, 0.301, 0.750).

As for the raw formation energy: -1.213 eV per atom. Its volume is 197.8 Å³ per cell.


(2)
The following is a DFT calculation (SCAN) of a crystal of Rb2LiIrPd relaxed with PBEsol.

The structure belongs to space group P4/mmm (No. 123); the cell edges are 6.331, 6.331 and 4.731 Å and the angles 90.00°, 90.00° and 90.00°. Symmetry generates all atoms from Rb at (0.000, 0.500, 0.000), Li at (0.000, 0.000, 0.500), Ir at (0.500, 0.500, 0.000) and Pd at (0.500, 0.500, 0.500).

Its volume is 189.6 Å³ per cell. The formation energy from the elements is 17.8 kcal/mol of atoms.


(3)
The following is a DFT calculation (SCAN) of a crystal of Zr2MnFeAu relaxed with PBEsol.

The structure belongs to space group P4/mmm (No. 123); the cell edges are 4.541, 4.541 and 4.827 Å and the angles 90.00°, 90.00° and 90.00°. Symmetry generates all atoms from Zr at (0.000, 0.500, 0.000), Mn at (0.000, 0.000, 0.500), Fe at (0.500, 0.500, 0.000) and Au at (0.500, 0.500, 0.500).

Its volume is 99.5 Å³ per cell. The formation energy from the elements is 6.3 kcal/mol of atoms.


(4)
The following is a DFT calculation (SCAN) of a crystal of Na3NiGe relaxed with PBEsol.

The structure belongs to space group Pm-3m (No. 221); the cell edges are 5.436, 5.436 and 5.436 Å and the angles 90.00°, 90.00° and 90.00°. Symmetry generates all atoms from Na at (0.000, 0.000, 0.500), Ni at (0.500, 0.500, 0.500) and Ge at (0.000, 0.000, 0.000).

Its volume is 160.7 Å³ per cell. The formation energy from the elements is 20.1 kcal/mol of atoms.


(5)
The following is a DFT calculation (SCAN) of a crystal of LaAsBr relaxed with PBEsol.

The structure belongs to space group P3m1 (No. 156); the cell edges are 4.2812, 4.2812 and 6.4044 Å and the angles 90.00°, 90.00° and 120.00°. Symmetry generates all atoms from La at (0.0000, 0.0000, 0.0000), As at (0.3333, 0.6667, 0.7469) and Br at (0.6667, 0.3333, 0.2763).

As for the raw formation energy: -1.151 eV per atom. Its volume is 101.7 Å³ per cell.


(6)
The following is a DFT calculation (SCAN) of a crystal of Li3SbPt relaxed with PBEsol.

The structure belongs to space group Pm-3m (No. 221); the cell edges are 4.826, 4.826 and 4.826 Å and the angles 90.00°, 90.00° and 90.00°. Symmetry generates all atoms from Li at (0.000, 0.000, 0.500), Sb at (0.000, 0.000, 0.000) and Pt at (0.500, 0.500, 0.500).

As for the raw formation energy: 0.432 eV per atom. Its volume is 112.4 Å³ per cell.


(7)
The following is a DFT calculation (SCAN) of a crystal of Ba2NaCoC relaxed with PBEsol.

The structure belongs to space group P4/mmm (No. 123); the cell edges are 5.986, 5.986 and 3.710 Å and the angles 90.00°, 90.00° and 90.00°. Symmetry generates all atoms from Ba at (0.000, 0.500, 0.000), Na at (0.000, 0.000, 0.500), Co at (0.500, 0.500, 0.000) and C at (0.500, 0.500, 0.500).

Its volume is 132.9 Å³ per cell. The formation energy from the elements is 11.9 kcal/mol of atoms.


(8)
The following is a DFT calculation (SCAN) of a crystal of KLaNi2 relaxed with PBEsol.

The structure belongs to space group Immm (No. 71); the cell edges are 4.889, 5.075 and 6.800 Å and the angles 90.00°, 90.00° and 90.00°. Symmetry generates all atoms from K at (0.000, 0.000, 0.000), La at (0.000, 0.000, 0.500) and Ni at (0.000, 0.500, 0.232).

Its volume is 168.7 Å³ per cell. For the excess energy over the best structure of this formula in the dataset, the calculation gives 110 kJ/mol of formula units. The formation energy from the elements is 11.0 kcal/mol of atoms.